Entry from Alexandria via LeMat-Bulk: a relaxed Sm2F crystal (PBE-GGA).

Properties
Theoretical density in g/cm3: 6.612
Total magnetic moment in μB per formula unit: 0.000
Uncorrected energy in eV/atom: -5.410

Cell and atoms, written as POSCAR:
```
Sm2F
1.0
1.920 13.760 -0.037
-1.920 13.760 -0.037
0.000 1.043 7.595
Sm F
10 5
Direct
0.998 0.998 0.990 Sm
0.396 0.396 0.838 Sm
0.798 0.798 0.615 Sm
0.203 0.203 0.899 Sm
0.198 0.198 0.411 Sm
0.597 0.597 0.678 Sm
0.602 0.602 0.214 Sm
0.004 0.004 0.492 Sm
0.401 0.401 0.285 Sm
0.802 0.802 0.110 Sm
0.148 0.148 0.693 F
0.051 0.051 0.203 F
0.943 0.943 0.735 F
0.359 0.359 0.573 F
0.249 0.249 0.140 F
```

***

Entry from Alexandria via LeMat-Bulk: a relaxed BaTlZn2Ni crystal (PBE-GGA).

Properties
Theoretical density in g/cm3: 5.119
Relative energy among the computed polymorphs in eV/atom: 0.874
Total magnetic moment in μB per formula unit: 0.000
Energy of formation from the pure elements in eV/atom: 0.73

Cell and atoms, written as POSCAR:
```
BaTlZn2Ni
1.0
5.062 0.000 0.000
0.000 6.723 0.000
0.000 0.000 5.062
Zn Tl Ba Ni
2 1 1 1
Direct
0.000 0.000 0.500 Zn
0.500 0.000 0.000 Zn
0.000 0.000 0.000 Tl
0.000 0.500 0.000 Ba
0.500 0.500 0.500 Ni
```

***

Entry from Alexandria via LeMat-Bulk: a relaxed Pm3Ag7Hg2 crystal (PBE-GGA).

Properties
Theoretical density in g/cm3: 9.388
Total magnetic moment in μB per formula unit: 0.000
Energy of formation from the pure elements in eV/atom: -0.14

Cell and atoms, written as POSCAR:
```
Pm3Ag7Hg2
1.0
3.984 0.000 0.000
0.000 4.564 0.015
0.000 -2.277 15.476
Pm Ag Hg
3 7 2
Direct
0.500 0.500 0.000 Pm
0.000 0.184 0.361 Pm
0.000 0.816 0.639 Pm
0.500 0.728 0.455 Ag
0.500 0.272 0.545 Ag
0.000 0.596 0.149 Ag
0.000 0.000 0.000 Ag
0.000 0.404 0.851 Ag
0.500 0.911 0.845 Ag
0.500 0.089 0.155 Ag
0.500 0.644 0.278 Hg
0.500 0.356 0.722 Hg
```

***

Entry from Alexandria via LeMat-Bulk: a relaxed DyLu2Hf crystal (PBE-GGA).

Properties
Theoretical density in g/cm3: 10.210
Relative energy among the computed polymorphs in eV/atom: 0.080
Total magnetic moment in μB per formula unit: 0.005
Energy of formation from the pure elements in eV/atom: 0.21

Cell and atoms, written as POSCAR:
```
DyLu2Hf
1.0
3.890 0.000 0.000
0.000 3.890 0.000
0.000 0.000 7.426
Lu Hf Dy
2 1 1
Direct
0.000 0.000 0.780 Lu
0.000 0.000 0.220 Lu
0.500 0.500 0.000 Hf
0.500 0.500 0.500 Dy
```

***

Entry from Alexandria via LeMat-Bulk: a relaxed SrPb2Au crystal (PBE-GGA).

Properties
Theoretical density in g/cm3: 9.697
Total magnetic moment in μB per formula unit: 0.000
Energy of formation from the pure elements in eV/atom: -0.33

Cell and atoms, written as POSCAR:
```
SrPb2Au
1.0
6.460 -0.073 -0.047
4.671 4.462 -0.047
4.671 1.842 4.065
Au Pb Sr
1 2 1
Direct
0.750 0.750 0.750 Au
0.026 0.026 0.026 Pb
0.474 0.474 0.474 Pb
0.250 0.250 0.250 Sr
```

***

Entry from Alexandria via LeMat-Bulk: a relaxed TbURu2 crystal (PBE-GGA).

Properties
Theoretical density in g/cm3: 12.538
Total magnetic moment in μB per formula unit: 1.132
Energy of formation from the pure elements in eV/atom: -0.33

Cell and atoms, written as POSCAR:
```
TbURu2
1.0
3.379 0.000 0.000
0.000 3.379 0.000
0.000 0.000 6.951
Tb U Ru
1 1 2
Direct
0.500 0.500 0.500 Tb
0.500 0.500 0.000 U
0.000 0.000 0.786 Ru
0.000 0.000 0.214 Ru
```